A plane-wave DFT calculation with PBE was carried out for crystalline EuErZnSn at its relaxed geometry.

Results
E_tot in eV per atom: -5.494
Energy of formation from the pure elements in eV per atom: -0.466

Lattice parameters (Å, degrees): 7.4746 7.4746 7.4746 90.00 90.00 90.00
Space group F-43m (No. 216)
Asymmetric unit:
1 Eu 0.0000 0.0000 0.0000 (multiplicity 4)
2 Er 0.0000 0.0000 0.5000 (multiplicity 4)
3 Zn 0.2500 0.2500 0.2500 (multiplicity 4)
4 Sn 0.2500 0.2500 0.7500 (multiplicity 4)